(1)
Ag3HgSe: optimized geometry, GGA-PBE.

Cell lengths 5.1365, 5.1365, 5.1365 Å; angles 90.00, 90.00, 90.00 degrees
Fractional coordinates of all 5 atoms:
Hg: 0.5000 0.5000 0.5000
Se: 0.0000 0.0000 0.0000
Ag: 0.0000 0.5000 0.0000
Ag: 0.5000 0.0000 0.0000
Ag: 0.0000 0.0000 0.5000

Calculated values
Magnetic moment in μB per atom: 0.000

---

(2)
Ag2SnHgSe4: optimized geometry, GGA-PBE.

Cell lengths 7.1644, 7.5668, 8.5895 Å; angles 90.00, 90.00, 90.00 degrees
Fractional coordinates of all 16 atoms:
Hg: 0.4754 0.3495 0.0000
Ag: 0.4924 0.8259 0.2534
Sn: 0.4793 0.3331 0.5000
Se: 0.3625 0.1604 0.7434
Ag: 0.4924 0.8259 0.7466
Se: 0.8421 0.3183 0.5000
Se: 0.8584 0.3450 0.0000
Ag: 0.9924 0.1741 0.2466
Se: 0.3625 0.1604 0.2566
Se: 0.8625 0.8396 0.7566
Ag: 0.9924 0.1741 0.7534
Se: 0.3584 0.6550 0.5000
Hg: 0.9754 0.6505 0.5000
Se: 0.8625 0.8396 0.2434
Sn: 0.9793 0.6669 0.0000
Se: 0.3421 0.6817 0.0000

Calculated values
Magnetic moment in μB per atom: 0.000

---

(3)
Ag4Sn2Hg3Se9: optimized geometry, GGA-PBE.

Cell lengths 7.5481, 7.5740, 10.6759 Å; angles 90.45, 90.09, 119.85 degrees
Fractional coordinates of all 18 atoms:
Hg: 0.3720 0.0267 0.9149
Sn: 0.3356 0.3359 0.5866
Se: 0.3371 0.0092 0.6566
Se: 0.0119 0.0095 0.9992
Hg: 0.0069 0.3593 0.9259
Se: 0.6691 0.6648 0.6433
Se: 0.3694 0.6824 0.9762
Ag: 0.6803 0.3449 0.2479
Ag: 0.0094 0.6654 0.5779
Se: 0.3371 0.3412 0.3322
Ag: 0.6724 0.0067 0.5847
Sn: 0.0079 0.0065 0.2432
Se: 0.6807 0.3627 0.0020
Se: 0.6951 0.0204 0.3326
Hg: 0.3561 0.7267 0.2175
Se: 0.0157 0.6888 0.3263
Ag: 0.6969 0.6752 0.8889
Se: 0.0105 0.3376 0.6621

Calculated values
Magnetic moment in μB per atom: 0.000

---

(4)
AgSn2HgSe4: optimized geometry, GGA-PBE.

Cell lengths 7.1438, 7.1438, 5.8324 Å; angles 114.16, 114.16, 109.36 degrees
Fractional coordinates of all 8 atoms:
Se: 0.0621 0.0621 0.6242
Sn: 0.3132 0.8132 0.6264
Se: 0.3172 0.8092 0.1265
Sn: 0.8132 0.3132 0.6264
Se: 0.8092 0.3172 0.1265
Ag: 0.5615 0.5615 0.1229
Hg: 0.0617 0.0617 0.1234
Se: 0.5622 0.5622 0.6242

Calculated values
Magnetic moment in μB per atom: 0.000

---

(5)
Ta2AgHg2Se6: optimized geometry, GGA-PBE.

Cell lengths 6.5410, 6.5410, 9.2910 Å; angles 100.06, 100.06, 121.50 degrees
Fractional coordinates of all 11 atoms:
Se: 0.2721 0.2721 0.3030
Se: 0.9240 0.5590 0.3301
Se: 0.5590 0.9240 0.3301
Se: 0.0760 0.4410 0.6699
Ta: 0.6506 0.3494 0.5000
Se: 0.4410 0.0760 0.6699
Se: 0.7279 0.7279 0.6970
Hg: 0.2444 0.7556 0.0000
Hg: 0.7556 0.2444 0.0000
Ag: 0.0000 0.0000 0.5000
Ta: 0.3494 0.6506 0.5000

Calculated values
Magnetic moment in μB per atom: 0.000

---

(6)
AgHgTeSe: optimized geometry, GGA-PBE.

Cell lengths 4.3926, 4.3926, 7.8753 Å; angles 73.81, 73.81, 60.00 degrees
Fractional coordinates of all 4 atoms:
Te: 0.1019 0.1019 0.6944
Hg: 0.9748 0.9748 0.0755
Ag: 0.4815 0.4815 0.5554
Se: 0.5985 0.5985 0.2046

Calculated values
Magnetic moment in μB per atom: 0.000

---

(7)
TiAgHgSe2: optimized geometry, GGA-PBE.

Cell lengths 5.0913, 5.1453, 5.0913 Å; angles 90.00, 90.00, 90.00 degrees
Site moments in Bohr magnetons follow the coordinates.
Fractional coordinates of all 5 atoms:
Hg: 0.0000 0.5000 0.0000  0.01
Se: 0.0000 0.0000 0.5000  0.10
Ti: 0.5000 0.5000 0.5000  -0.42
Ag: 0.0000 0.0000 0.0000  0.01
Se: 0.5000 0.0000 0.0000  0.10

Calculated values
Magnetic moment in μB per atom: 0.040

---

(8)
TlAgHgSe: optimized geometry, GGA-PBE.

Cell lengths 5.2080, 5.2080, 5.2080 Å; angles 60.00, 60.00, 60.00 degrees
Fractional coordinates of all 4 atoms:
Ag: 0.0000 0.0000 0.0000
Hg: 0.7500 0.7500 0.7500
Se: 0.2500 0.2500 0.2500
Tl: 0.5000 0.5000 0.5000

Calculated values
Magnetic moment in μB per atom: 0.000

---

(9)
TlAgHgSe: optimized geometry, GGA-PBE.

Cell lengths 4.4521, 4.4521, 10.9220 Å; angles 90.00, 90.00, 90.00 degrees
Fractional coordinates of all 8 atoms:
Ag: 0.7500 0.2500 0.0000
Hg: 0.7500 0.2500 0.5000
Se: 0.7500 0.7500 0.8436
Se: 0.2500 0.2500 0.1564
Tl: 0.7500 0.7500 0.2419
Ag: 0.2500 0.7500 0.0000
Tl: 0.2500 0.2500 0.7581
Hg: 0.2500 0.7500 0.5000

Calculated values
Magnetic moment in μB per atom: 0.000

---

(10)
U3AgHg3Se8: optimized geometry, GGA-PBE.

Cell lengths 8.0545, 8.0527, 10.4469 Å; angles 112.72, 90.00, 120.01 degrees
Site moments in Bohr magnetons follow the coordinates.
Fractional coordinates of all 15 atoms:
Se: 0.7025 0.9345 0.6661  -0.08
Hg: 0.5000 0.5000 0.0000  -0.01
U: 0.5000 0.0000 0.5000  1.24
U: 0.5000 0.5000 0.5000  1.24
Ag: 0.0000 0.0000 0.5000  -0.04
Se: 0.2320 0.9345 0.6661  -0.08
Se: 0.7229 0.4458 0.6682  -0.06
Se: 0.2319 0.4638 0.6660  -0.08
Hg: 0.0000 0.0000 0.0000  -0.01
Hg: 0.0000 0.5000 0.0000  -0.01
U: 0.0000 0.5000 0.5000  1.24
Se: 0.2975 0.0655 0.3339  -0.08
Se: 0.2771 0.5542 0.3318  -0.06
Se: 0.7680 0.0655 0.3339  -0.08
Se: 0.7681 0.5362 0.3340  -0.08

Calculated values
Magnetic moment in μB per atom: 0.197

---

(11)
SiAg2Hg: optimized geometry, GGA-PBE.

Cell lengths 7.1577, 7.1577, 7.1577 Å; angles 157.04, 144.98, 42.30 degrees
Fractional coordinates of all 4 atoms:
Si: 0.2262 0.7262 0.5000
Ag: 0.7681 0.2681 0.5000
Ag: 0.0601 0.0601 0.0000
Hg: 0.4457 0.4457 0.0000

Calculated values
Magnetic moment in μB per atom: 0.000

---

(12)
SiAg3Hg: optimized geometry, GGA-PBE.

Cell lengths 4.8628, 4.8628, 4.8628 Å; angles 90.00, 90.00, 90.00 degrees
Fractional coordinates of all 5 atoms:
Ag: 0.0000 0.5000 0.0000
Ag: 0.0000 0.0000 0.5000
Ag: 0.5000 0.0000 0.0000
Si: 0.0000 0.0000 0.0000
Hg: 0.5000 0.5000 0.5000

Calculated values
Magnetic moment in μB per atom: 0.000

---

Calculated formation energy (no corrections), 233, -244, -223, -243, -392, -62, 658, -4, -170, -666, 228, 370 meV per atom (same order as the records).